Density functional theory data (PBE) for K4Pm3PaTe8 after structural relaxation.

Structure (extended XYZ):
```
16
Lattice="-0.841 -8.417 -3.366 7.082 1.906 -6.537 1.953 1.205 8.810" Properties=species:S:1:pos:R:3 pbc="T T T"
Pm 4.517 1.556 1.136
Pm 3.120 -3.255 -4.951
Pm 4.097 -2.653 -0.546
K 0.000 0.000 0.000
K 0.556 -3.606 2.722
K 0.976 0.603 4.405
K -0.421 -4.208 -1.683
Te 6.769 0.555 3.158
Te 1.851 -1.596 -2.545
Te 2.414 -5.250 0.214
Te 5.375 -4.277 -2.959
Te 1.424 -5.861 -4.251
Te 6.343 -3.710 1.452
Te 5.780 -0.055 -1.306
Te 2.818 -1.028 1.867
Pa 3.541 0.953 -3.268
```

raw formation energy: -1.28 eV per atom
total moment: 1.9 Bohr magnetons per cell
symmetry: R-3m (166)
calculated volume: 37.2 Å³ per atom
density of states at the Fermi level: 0.658 states/eV per atom

=====

Density functional theory data (PBE) for K3Pm2PaTe6 after structural relaxation.

Structure (extended XYZ):
```
12
Lattice="-5.567 -0.709 -5.498 3.597 -6.401 2.796 -5.125 1.715 6.839" Properties=species:S:1:pos:R:3 pbc="T T T"
Pm 0.539 -4.502 0.029
Pm -2.510 -2.608 -2.731
Te -4.528 -0.474 4.677
Te -2.568 -4.921 -0.540
Te -7.036 -3.156 1.947
Te -3.065 -0.372 -0.530
Te -4.030 -5.023 4.667
Te -0.059 -2.239 2.191
K -6.584 -0.811 -0.679
K -3.548 -2.697 2.069
K -0.511 -4.583 4.817
Pa 0.000 0.000 0.000
```

raw formation energy: -1.24 eV per atom
total moment: 1.9 Bohr magnetons per cell
symmetry: C2/m (12)
calculated volume: 37.0 Å³ per atom
density of states at the Fermi level: 0.811 states/eV per atom

=====

Density functional theory data (PBE) for K4PmPa3Te8 after structural relaxation.

Structure (extended XYZ):
```
16
Lattice="-7.340 1.008 4.931 -5.567 -0.761 -8.131 5.595 -6.717 1.671" Properties=species:S:1:pos:R:3 pbc="T T T"
Pa 0.014 -3.739 -3.230
Pa -6.453 0.124 -1.600
Pa -3.656 -3.235 -0.765
Te -3.920 -6.355 -0.566
Te -7.019 0.383 1.474
Te -0.577 -3.466 -0.150
Te -3.058 -3.533 -3.829
Te -0.293 -6.853 -3.003
Te -4.254 -2.937 2.300
Te -3.391 -0.115 -0.963
Te -6.734 -3.004 -1.379
K 0.000 0.000 0.000
K -3.670 0.504 2.465
K 2.798 -3.359 0.836
K -0.872 -2.854 3.301
Pm -2.784 -0.381 -4.065
```

raw formation energy: -1.04 eV per atom
total moment: 5.9 Bohr magnetons per cell
symmetry: R-3m (166)
calculated volume: 36.2 Å³ per atom
density of states at the Fermi level: 1.176 states/eV per atom